Computed, not measured: a relaxed structure of K3Ac5Hg12 at the PBE-GGA level of DFT.

Cell lengths 18.662, 18.662, 18.662 Å; angles 90.00, 90.00, 90.00 degrees
Space group Ia-3d (No. 230)
Unique sites:
K 0.000 0.250 0.125
Ac 0.000 0.000 0.000
Ac 0.000 0.250 0.375
Hg 0.001 0.078 0.656

## Properties
Formation energy from the elements ... -0.14 eV/f.u.

Computed, not measured: a relaxed structure of K2AcHg6 at the PBE-GGA level of DFT.

Cell lengths 9.1694, 9.1694, 3.7830 Å; angles 90.00, 90.00, 120.00 degrees
Space group P6/mmm (No. 191)
Unique sites:
K 0.3333 0.6667 0.0000
Ac 0.0000 0.0000 0.0000
Hg 0.0000 0.3348 0.5000

## Properties
Formation energy from the elements ... -2.63 eV/f.u.

Computed, not measured: a relaxed structure of KAcHg4 at the PBE-GGA level of DFT.

Cell lengths 3.770, 5.268, 9.072 Å; angles 90.00, 90.00, 90.00 degrees
Space group Pmmm (No. 47)
Unique sites:
K 0.000 0.000 0.000
Ac 0.000 0.500 0.500
Hg 0.500 0.000 0.335
Hg 0.500 0.500 0.165

## Properties
Distance to the lowest polymorph of the same formula ... 0 meV/atom
Formation energy from the elements ... -1.99 eV/f.u.

Computed, not measured: a relaxed structure of KAcHg14 at the PBE-GGA level of DFT.

Cell lengths 10.774, 14.661, 12.342 Å; angles 90.00, 90.00, 90.00 degrees
Space group Imma (No. 74)
Unique sites:
K 0.000 0.250 0.178
Ac 0.250 0.250 0.750
Hg 0.000 0.070 0.384
Hg 0.000 0.143 0.628
Hg 0.000 0.147 0.888
Hg 0.150 0.025 0.167
Hg 0.242 0.142 0.502

## Properties
Formation energy from the elements ... -2.27 eV/f.u.